Record 1
Below is a relaxed PWCl crystal, with properties calculated at the GGA-PBE level.

space group = P3m1, No. 156
offset from the most stable computed form = 0.00 kcal/mol of atoms
E = -6.772 eV per atom
E_form (uncorrected) = -3 kJ/mol of atoms
calculated density = 7.08 g/cm³

Lattice parameters (Å, degrees): 3.281 3.281 6.296 90.00 90.00 120.00
Fractional positions:
Cl 0.000 0.000 0.935
P 0.333 0.667 0.417
W 0.667 0.333 0.648

---

Record 2
Below is a relaxed Tl2Cd13 crystal, with properties calculated at the GGA-PBE level.

space group = R-3m, No. 166
E = -0.973 eV per atom
calculated density = 7.07 g/cm³
calculated formation energy = 0.136 eV/atom

Lattice parameters (Å, degrees): 7.742 7.742 9.570 66.14 66.14 60.00
Fractional positions:
Tl 0.358 0.358 0.927
Tl 0.642 0.642 0.073
Cd 0.500 0.500 0.500
Cd 0.382 0.992 0.244
Cd 0.382 0.382 0.244
Cd 0.992 0.382 0.244
Cd 0.008 0.618 0.756
Cd 0.618 0.008 0.756
Cd 0.618 0.618 0.756
Cd 0.250 0.873 0.627
Cd 0.250 0.250 0.627
Cd 0.873 0.250 0.627
Cd 0.127 0.750 0.373
Cd 0.750 0.127 0.373
Cd 0.750 0.750 0.373

---

Record 3
Below is a relaxed TmZrPdPt crystal, with properties calculated at the GGA-PBE level.

space group = F-43m, No. 216
offset from the most stable computed form = 1.46 kcal/mol of atoms
E = -6.992 eV per atom
calculated density = 11.87 g/cm³
calculated formation energy = -0.928 eV/atom

Lattice parameters (Å, degrees): 4.807 4.807 4.807 60.00 60.00 60.00
Fractional positions:
Zr 0.500 0.500 0.500
Tm 0.000 0.000 0.000
Pd 0.250 0.250 0.250
Pt 0.750 0.750 0.750

---

Record 4
Below is a relaxed TlNiBr2 crystal, with properties calculated at the GGA-PBE level.

space group = C2/m, No. 12
offset from the most stable computed form = 11.28 kcal/mol of atoms
E = -2.738 eV per atom
E_form (uncorrected) = 13 kJ/mol of atoms
calculated density = 6.54 g/cm³

Lattice parameters (Å, degrees): 7.896 5.380 3.761 83.24 71.59 128.57
Fractional positions:
Br 0.000 0.000 0.000
Br 0.500 0.000 0.500
Ni 0.000 0.500 0.500
Tl 0.500 0.500 0.000

---

Record 5
Below is a relaxed TcW crystal, with properties calculated at the GGA-PBE level.

space group = C2/m, No. 12
offset from the most stable computed form = 3.01 kcal/mol of atoms
E = -11.464 eV per atom
calculated density = 15.11 g/cm³
calculated formation energy = 0.195 eV/atom

Lattice parameters (Å, degrees): 2.798 4.903 4.789 99.82 90.00 106.58
Fractional positions:
Tc 0.256 0.512 0.749
Tc 0.994 0.988 0.001
W 0.506 0.012 0.514
W 0.744 0.488 0.236

---

Record 6
Below is a relaxed SrMgSb4 crystal, with properties calculated at the GGA-PBE level.

space group = F-43m, No. 216
E = -3.437 eV per atom
E_form (uncorrected) = -14 kJ/mol of atoms
calculated density = 5.43 g/cm³

Lattice parameters (Å, degrees): 6.376 6.376 6.376 60.00 60.00 60.00
Fractional positions:
Sr 0.750 0.750 0.750
Mg 0.000 0.000 0.000
Sb 0.879 0.374 0.374
Sb 0.374 0.374 0.879
Sb 0.374 0.879 0.374
Sb 0.374 0.374 0.374

---

Record 7
Below is a relaxed In2TeBr crystal, with properties calculated at the GGA-PBE level.

space group = Pmmn, No. 59
offset from the most stable computed form = 0.00 kcal/mol of atoms
E = -2.992 eV per atom
E_form (uncorrected) = -40 kJ/mol of atoms
calculated density = 5.39 g/cm³

Lattice parameters (Å, degrees): 6.191 4.606 9.450 89.99 90.00 90.00
Fractional positions:
In 0.701 0.733 0.223
In 0.701 0.733 0.702
In 0.201 0.233 0.514
In 0.201 0.233 0.993
Te 0.201 0.733 0.739
Te 0.701 0.234 0.477
Br 0.201 0.734 0.263
Br 0.701 0.234 0.953

---

Record 8
Below is a relaxed Tb2TmTi crystal, with properties calculated at the GGA-PBE level.

space group = R-3m, No. 166
offset from the most stable computed form = 5.81 kcal/mol of atoms
E = -4.987 eV per atom
calculated density = 7.86 g/cm³
calculated formation energy = 0.420 eV/atom

Lattice parameters (Å, degrees): 3.345 3.345 11.816 81.86 81.86 60.00
Fractional positions:
Tm 0.500 0.500 0.500
Tb 0.084 0.084 0.747
Tb 0.916 0.916 0.253
Ti 0.000 0.000 0.000

---

Record 9
Below is a relaxed Li2OsCl crystal, with properties calculated at the GGA-PBE level.

space group = Cmm2, No. 35
offset from the most stable computed form = 12.22 kcal/mol of atoms
E = -4.011 eV per atom
E_form (uncorrected) = 21 kJ/mol of atoms
calculated density = 5.49 g/cm³

Lattice parameters (Å, degrees): 2.712 2.712 10.826 90.00 90.00 114.48
Fractional positions:
Cl 0.500 0.500 0.833
Li 0.000 0.000 0.982
Li 0.500 0.500 0.244
Os 0.000 0.000 0.441

---

Record 10
Below is a relaxed MgMoBr crystal, with properties calculated at the GGA-PBE level.

space group = Fmm2, No. 42
offset from the most stable computed form = 4.62 kcal/mol of atoms
E = -4.242 eV per atom
E_form (uncorrected) = 44 kJ/mol of atoms
calculated density = 5.45 g/cm³

Lattice parameters (Å, degrees): 7.356 7.002 3.208 83.35 70.99 25.67
Fractional positions:
Br 0.011 0.011 0.989
Mg 0.326 0.326 0.674
Mo 0.663 0.663 0.337

---

Record 11
Below is a relaxed KDyBr3 crystal, with properties calculated at the GGA-PBE level.

space group = Pm-3m, No. 221
E = -3.659 eV per atom
E_form (uncorrected) = -146 kJ/mol of atoms
calculated density = 4.10 g/cm³

Lattice parameters (Å, degrees): 5.634 5.634 5.634 90.00 90.00 90.00
Fractional positions:
K 0.500 0.500 0.500
Br 0.000 0.500 0.000
Br 0.000 0.000 0.500
Br 0.500 0.000 0.000
Dy 0.000 0.000 0.000

---

Record 12
Below is a relaxed CeSc3 crystal, with properties calculated at the GGA-PBE level.

space group = Imm2, No. 44
offset from the most stable computed form = 0.00 kcal/mol of atoms
E = -6.172 eV per atom
calculated density = 4.46 g/cm³
calculated formation energy = 0.060 eV/atom

Lattice parameters (Å, degrees): 3.389 5.724 6.240 117.30 105.76 90.00
Fractional positions:
Sc 0.247 0.588 0.495
Sc 0.500 0.502 0.000
Sc 0.753 0.093 0.505
Ce 0.000 0.984 0.000

---

Record 13
Below is a relaxed CoMo2HW crystal, with properties calculated at the GGA-PBE level.

space group = P4/mmm, No. 123
E = -8.902 eV per atom
calculated density = 12.00 g/cm³

Lattice parameters (Å, degrees): 4.030 4.030 3.713 90.00 90.00 90.00
Fractional positions:
H 0.000 0.000 0.000
Mo 0.000 0.500 0.000
Mo 0.500 0.000 0.000
Co 0.000 0.000 0.500
W 0.500 0.500 0.500

---

Record 14
Below is a relaxed Ac2ScCu crystal, with properties calculated at the GGA-PBE level.

space group = R-3m, No. 166
offset from the most stable computed form = 11.17 kcal/mol of atoms
E = -4.139 eV per atom
calculated density = 6.79 g/cm³
calculated formation energy = 0.522 eV/atom

Lattice parameters (Å, degrees): 3.723 3.723 11.654 80.81 80.81 60.00
Fractional positions:
Sc 0.500 0.500 0.500
Ac 0.085 0.085 0.745
Ac 0.915 0.915 0.255
Cu 0.000 0.000 0.000

---

Record 15
Below is a relaxed ReAg crystal, with properties calculated at the GGA-PBE level.

space group = R-3m, No. 166
offset from the most stable computed form = 0.00 kcal/mol of atoms
E = -7.403 eV per atom
calculated density = 14.95 g/cm³
calculated formation energy = 0.247 eV/atom

Lattice parameters (Å, degrees): 9.755 9.755 9.755 16.51 16.51 16.51
Fractional positions:
Re 0.494 0.494 0.494
Re 0.756 0.756 0.756
Ag 0.002 0.002 0.002
Ag 0.248 0.248 0.248

---

Record 16
Below is a relaxed Mn2GaPd6 crystal, with properties calculated at the GGA-PBE level.

space group = Immm, No. 71
E = -5.961 eV per atom
calculated density = 8.80 g/cm³
calculated formation energy = -0.126 eV/atom

Lattice parameters (Å, degrees): 4.171 5.934 7.212 114.29 106.77 90.00
Fractional positions:
Mn 0.666 0.666 0.333
Mn 0.334 0.334 0.667
Ga 0.000 0.000 0.000
Pd 0.165 0.413 0.330
Pd 0.835 0.083 0.670
Pd 0.835 0.587 0.670
Pd 0.500 0.245 0.000
Pd 0.165 0.917 0.330
Pd 0.500 0.755 0.000

---

Record 17
Below is a relaxed ZrTcBr crystal, with properties calculated at the GGA-PBE level.

space group = F-43m, No. 216
offset from the most stable computed form = 10.17 kcal/mol of atoms
E = -6.488 eV per atom
E_form (uncorrected) = 36 kJ/mol of atoms
calculated density = 7.41 g/cm³

Lattice parameters (Å, degrees): 4.403 4.403 4.403 60.00 60.00 60.00
Fractional positions:
Br 0.500 0.500 0.500
Tc 0.750 0.750 0.750
Zr 0.000 0.000 0.000

---

Record 18
Below is a relaxed Cr2TcTe crystal, with properties calculated at the GGA-PBE level.

space group = R-3m, No. 166
E = -7.610 eV per atom
E_form (uncorrected) = 56 kJ/mol of atoms
calculated density = 8.40 g/cm³

Lattice parameters (Å, degrees): 8.065 8.065 8.065 22.11 22.11 22.11
Fractional positions:
Cr 0.991 0.991 0.991
Cr 0.509 0.509 0.509
Tc 0.250 0.250 0.250
Te 0.750 0.750 0.750

---

Record 19
Below is a relaxed Ac3Sb2Pd9Pb crystal, with properties calculated at the GGA-PBE level.

space group = P-3m1, No. 164
E = -5.265 eV per atom
E_form (uncorrected) = -51 kJ/mol of atoms
calculated density = 8.80 g/cm³

Lattice parameters (Å, degrees): 6.815 6.815 9.803 90.00 90.00 120.00
Fractional positions:
Ac 0.333 0.667 0.736
Ac 0.000 0.000 0.000
Ac 0.667 0.333 0.264
Sb 0.333 0.667 0.180
Sb 0.667 0.333 0.820
Pd 0.865 0.135 0.725
Pd 0.865 0.730 0.725
Pd 0.270 0.135 0.725
Pd 0.730 0.865 0.275
Pd 0.135 0.270 0.275
Pd 0.135 0.865 0.275
Pd 0.500 0.000 0.000
Pd 0.000 0.500 0.000
Pd 0.500 0.500 0.000
Pb 0.000 0.000 0.500

---

Record 20
Below is a relaxed BiPt crystal, with properties calculated at the GGA-PBE level.

space group = Cmcm, No. 63
E = -5.118 eV per atom
calculated density = 14.88 g/cm³
calculated formation energy = -0.158 eV/atom

Lattice parameters (Å, degrees): 3.907 6.849 7.019 90.00 106.16 90.00
Fractional positions:
Bi 0.732 0.250 0.465
Bi 0.268 0.750 0.535
Bi 0.461 0.250 0.921
Bi 0.539 0.750 0.079
Pt 0.894 0.955 0.787
Pt 0.106 0.045 0.213
Pt 0.106 0.455 0.213
Pt 0.894 0.545 0.787

---

Record 21
Below is a relaxed Tb5Pr2ErTm crystal, with properties calculated at the GGA-PBE level.

space group = I4/mcm, No. 140
E = -4.363 eV per atom
calculated density = 7.94 g/cm³
calculated formation energy = 0.275 eV/atom

Lattice parameters (Å, degrees): 8.560 8.560 10.079 115.13 115.13 90.00
Fractional positions:
Tb 0.927 0.427 0.286
Tb 0.641 0.141 0.714
Tb 0.073 0.573 0.714
Tb 0.141 0.073 0.714
Tb 0.573 0.641 0.714
Tb 0.859 0.927 0.286
Tb 0.427 0.359 0.286
Tb 0.359 0.859 0.286
Tb 0.500 0.500 0.000
Tb 0.000 0.000 0.000
Pr 0.120 0.380 0.000
Pr 0.620 0.120 0.000
Pr 0.380 0.880 0.000
Pr 0.880 0.620 0.000
Er 0.250 0.250 0.500
Er 0.750 0.750 0.500
Tm 0.250 0.750 0.500
Tm 0.750 0.250 0.500

---

Record 22
Below is a relaxed CaLaPb2 crystal, with properties calculated at the GGA-PBE level.

space group = I-42d, No. 122
E = -3.886 eV per atom
calculated density = 7.28 g/cm³
calculated formation energy = -0.299 eV/atom

Lattice parameters (Å, degrees): 8.714 8.714 7.118 52.25 52.25 90.00
Fractional positions:
Pb 0.615 0.125 0.250
Pb 0.135 0.625 0.250
Pb 0.375 0.385 0.750
Pb 0.875 0.865 0.750
Ca 0.500 0.500 0.000
Ca 0.250 0.750 0.500
La 0.000 0.000 0.000
La 0.750 0.250 0.500

---

Record 23
Below is a relaxed HfMoCl2 crystal, with properties calculated at the GGA-PBE level.

space group = I-42d, No. 122
offset from the most stable computed form = 4.10 kcal/mol of atoms
E = -6.168 eV per atom
E_form (uncorrected) = -5 kJ/mol of atoms
calculated density = 7.70 g/cm³

Lattice parameters (Å, degrees): 4.227 4.227 8.853 76.19 76.19 90.00
Fractional positions:
Mo 0.500 0.500 0.000
Mo 0.250 0.750 0.500
Hf 0.000 0.000 0.000
Hf 0.750 0.250 0.500
Cl 0.616 0.125 0.250
Cl 0.134 0.625 0.250
Cl 0.375 0.384 0.750
Cl 0.875 0.866 0.750

---

Record 24
Below is a relaxed Y2Ho5 crystal, with properties calculated at the GGA-PBE level.

space group = C2/c, No. 15
offset from the most stable computed form = 0.00 kcal/mol of atoms
E = -5.114 eV per atom
calculated density = 7.48 g/cm³
calculated formation energy = 0.003 eV/atom

Lattice parameters (Å, degrees): 6.264 6.677 11.094 89.10 106.40 90.00
Fractional positions:
Y 0.512 0.607 0.856
Y 0.656 0.893 0.144
Y 0.488 0.393 0.144
Y 0.344 0.107 0.856
Ho 0.060 0.535 0.286
Ho 0.774 0.965 0.714
Ho 0.369 0.321 0.570
Ho 0.799 0.179 0.430
Ho 0.631 0.679 0.430
Ho 0.201 0.821 0.570
Ho 0.226 0.035 0.286
Ho 0.940 0.465 0.714
Ho 0.082 0.750 0.000
Ho 0.918 0.250 0.000

---

Record 25
Below is a relaxed Ta2Ti2S7 crystal, with properties calculated at the GGA-PBE level.

space group = C2/m, No. 12
E = -7.180 eV per atom
E_form (uncorrected) = -93 kJ/mol of atoms
calculated density = 4.58 g/cm³

Lattice parameters (Å, degrees): 6.675 6.300 6.300 110.66 92.17 92.17
Fractional positions:
Ta 0.500 0.358 0.642
Ta 0.500 0.642 0.358
Ti 0.873 0.280 0.280
Ti 0.127 0.720 0.720
S 0.305 0.962 0.580
S 0.695 0.420 0.038
S 0.695 0.038 0.420
S 0.305 0.580 0.962
S 0.000 0.000 0.000
S 0.769 0.610 0.610
S 0.231 0.390 0.390

---

Record 26
Below is a relaxed Ca2Ac3Sn3 crystal, with properties calculated at the GGA-PBE level.

space group = Immm, No. 71
offset from the most stable computed form = 3.81 kcal/mol of atoms
E = -4.048 eV per atom
calculated density = 6.66 g/cm³
calculated formation energy = -0.506 eV/atom

Lattice parameters (Å, degrees): 4.510 5.311 12.135 102.64 100.71 90.00
Fractional positions:
Ca 0.748 0.248 0.496
Ca 0.252 0.752 0.504
Ac 0.618 0.618 0.235
Ac 0.382 0.382 0.765
Ac 0.500 0.000 0.000
Sn 0.149 0.149 0.298
Sn 0.000 0.500 0.000
Sn 0.851 0.851 0.702